# 1
Here is BeNbPb3 after structural relaxation from the Alexandria database. Energies are from PBE-GGA.

## Properties
Crystal system: cubic
Electronic total energy (eV per atom): -4.04
Symmetry: Pm-3m (221)
Magnetic moment (μB per formula unit): 0.0

a b c (Å): 5.5213 5.5213 5.5213
angles (deg): 90.00 90.00 90.00
Element x y z (fractional)
Be: 0.0000 0.0000 0.0000
Nb: 0.5000 0.5000 0.5000
Pb: 0.0000 0.5000 0.5000
Pb: 0.5000 0.0000 0.5000
Pb: 0.5000 0.5000 0.0000

# 2
Here is BeNb2Pb after structural relaxation from the Alexandria database. Energies are from PBE-GGA.

## Properties
Crystal system: cubic
Electronic total energy (eV per atom): -6.34
Symmetry: Fm-3m (225)
Magnetic moment (μB per formula unit): 0.0

a b c (Å): 4.6535 4.6535 4.6535
angles (deg): 60.00 60.00 60.00
Element x y z (fractional)
Be: 0.0000 0.0000 0.0000
Nb: 0.2500 0.2500 0.2500
Nb: 0.7500 0.7500 0.7500
Pb: 0.5000 0.5000 0.5000